# 1
Entry from Alexandria: crystalline TaFe2Sb at its relaxed geometry (GGA-PBE).

Cell: 4.4286 4.4286 4.9536 Å, 78.38 78.38 41.57°
Last column: magnetic moment on the atom in μB.
Sites, in units of the cell vectors:
Ta 0.2500 0.2500 0.2500  -0.36
Fe 0.5071 0.5071 0.4716  1.53
Fe 0.9929 0.9929 0.0284  1.53
Sb 0.7500 0.7500 0.7500  -0.02

Output
The uncorrected formation energy comes out at 19 kJ per mole of atoms. The density of states at the Fermi level comes out at 3.7 states/eV/f.u.

# 2
Entry from Alexandria: crystalline TaFeSb3 at its relaxed geometry (GGA-PBE).

Cell: 4.8665 4.8665 4.8665 Å, 90.00 90.00 90.00°
Sites, in units of the cell vectors:
Sb 0.0000 0.0000 0.5000
Fe 0.0000 0.0000 0.0000
Sb 0.5000 0.0000 0.0000
Sb 0.0000 0.5000 0.0000
Ta 0.5000 0.5000 0.5000

Output
The energy above the most stable polymorph in this dataset is 41 meV/atom. The uncorrected formation energy comes out at 98 kJ per mole of atoms. The density of states at the Fermi level comes out at 7.4 states/eV/f.u.

- What is the uncorrected formation energy in the first record?
  19 kJ per mole of atoms

- Number 1 is which compound?
  TaFe2Sb

Repeat the first record exactly.
Entry from Alexandria: crystalline TaFe2Sb at its relaxed geometry (GGA-PBE).

Cell: 4.4286 4.4286 4.9536 Å, 78.38 78.38 41.57°
Last column: magnetic moment on the atom in μB.
Sites, in units of the cell vectors:
Ta 0.2500 0.2500 0.2500  -0.36
Fe 0.5071 0.5071 0.4716  1.53
Fe 0.9929 0.9929 0.0284  1.53
Sb 0.7500 0.7500 0.7500  -0.02

Output
The uncorrected formation energy comes out at 19 kJ per mole of atoms. The density of states at the Fermi level comes out at 3.7 states/eV/f.u.